1.
! AgBi2BPt | Alexandria via LeMat-Bulk | PBE | optimized geometry; values from VASP
! * formation energy from the elements: 0.438 eV per atom
! * D(E_F): 2.5 states/eV/f.u.
! * magnetic moment: 0.00 μB per cell
! * space group: P4/mmm
! * uncorrected energy: -4.229 eV per atom
&SYSTEM
  ibrav = 0, nat = 5, ntyp = 4
/
ATOMIC_SPECIES
Ag 107.87 Ag.upf
Bi 208.98 Bi.upf
B 10.81 B.upf
Pt 195.08 Pt.upf
CELL_PARAMETERS angstrom
5.612 0.000 0.000
0.000 5.612 0.000
0.000 0.000 3.971
ATOMIC_POSITIONS crystal
Ag 0.000 0.000 0.000
Bi 0.000 0.500 0.500
Bi 0.500 0.000 0.500
B 0.500 0.500 0.000
Pt 0.500 0.500 0.500


2.
! AgBiBPt2 | Alexandria via LeMat-Bulk | PBE | optimized geometry; values from VASP
! * formation energy from the elements: 1.487 eV per atom
! * D(E_F): 2.2 states/eV/f.u.
! * magnetic moment: 0.00 μB per cell
! * space group: P4/mmm
! * relative energy among the computed polymorphs: 1481.0 meV per atom
! * uncorrected energy: -3.612 eV per atom
&SYSTEM
  ibrav = 0, nat = 5, ntyp = 4
/
ATOMIC_SPECIES
Ag 107.87 Ag.upf
Bi 208.98 Bi.upf
B 10.81 B.upf
Pt 195.08 Pt.upf
CELL_PARAMETERS angstrom
5.155 0.000 0.000
0.000 5.155 0.000
0.000 0.000 4.600
ATOMIC_POSITIONS crystal
Ag 0.000 0.000 0.000
Bi 0.500 0.500 0.500
B 0.500 0.500 0.000
Pt 0.000 0.500 0.500
Pt 0.500 0.000 0.500


3.
! AgBiBPt2 | Alexandria via LeMat-Bulk | PBE | optimized geometry; values from VASP
! * formation energy from the elements: 0.006 eV per atom
! * D(E_F): 2.0 states/eV/f.u.
! * magnetic moment: 0.00 μB per cell
! * space group: P4/mmm
! * relative energy among the computed polymorphs: 0.0 meV per atom
! * uncorrected energy: -5.093 eV per atom
&SYSTEM
  ibrav = 0, nat = 5, ntyp = 4
/
ATOMIC_SPECIES
Ag 107.87 Ag.upf
Bi 208.98 Bi.upf
B 10.81 B.upf
Pt 195.08 Pt.upf
CELL_PARAMETERS angstrom
4.305 0.000 0.000
0.000 4.305 0.000
0.000 0.000 4.659
ATOMIC_POSITIONS crystal
Ag 0.000 0.000 0.000
Bi 0.500 0.500 0.000
B 0.000 0.000 0.500
Pt 0.000 0.500 0.500
Pt 0.500 0.000 0.500


4.
! ReAgBiB2 | Alexandria via LeMat-Bulk | PBE | optimized geometry; values from VASP
! * formation energy from the elements: 1.978 eV per atom
! * D(E_F): 4.1 states/eV/f.u.
! * magnetic moment: 1.82 μB per cell
! * space group: P4/mmm
! * uncorrected energy: -4.529 eV per atom
&SYSTEM
  ibrav = 0, nat = 5, ntyp = 4
/
ATOMIC_SPECIES
Re 186.21 Re.upf
Ag 107.87 Ag.upf
Bi 208.98 Bi.upf
B 10.81 B.upf
CELL_PARAMETERS angstrom
4.086 0.000 0.000
0.000 4.086 0.000
0.000 0.000 5.561
ATOMIC_POSITIONS crystal
Re 0.000 0.000 0.000
Ag 0.000 0.000 0.500
Bi 0.500 0.500 0.000
B 0.000 0.500 0.500
B 0.500 0.000 0.500


5.
! TaAgBi2B | Alexandria via LeMat-Bulk | PBE | optimized geometry; values from VASP
! * formation energy from the elements: 1.157 eV per atom
! * D(E_F): 5.1 states/eV/f.u.
! * magnetic moment: 1.26 μB per cell
! * space group: P4/mmm
! * uncorrected energy: -4.671 eV per atom
&SYSTEM
  ibrav = 0, nat = 5, ntyp = 4
/
ATOMIC_SPECIES
Ta 180.95 Ta.upf
Ag 107.87 Ag.upf
Bi 208.98 Bi.upf
B 10.81 B.upf
CELL_PARAMETERS angstrom
5.124 0.000 0.000
0.000 5.124 0.000
0.000 0.000 4.183
ATOMIC_POSITIONS crystal
Ta 0.000 0.000 0.000
Ag 0.500 0.500 0.000
Bi 0.000 0.500 0.500
Bi 0.500 0.000 0.500
B 0.500 0.500 0.500


6.
! YAg2BiB | Alexandria via LeMat-Bulk | PBE | optimized geometry; values from VASP
! * formation energy from the elements: 0.001 eV per atom
! * D(E_F): 2.0 states/eV/f.u.
! * magnetic moment: 0.00 μB per cell
! * space group: P4/mmm
! * uncorrected energy: -4.544 eV per atom
&SYSTEM
  ibrav = 0, nat = 5, ntyp = 4
/
ATOMIC_SPECIES
Y 88.91 Y.upf
Ag 107.87 Ag.upf
Bi 208.98 Bi.upf
B 10.81 B.upf
CELL_PARAMETERS angstrom
4.506 0.000 0.000
0.000 4.506 0.000
0.000 0.000 5.069
ATOMIC_POSITIONS crystal
Y 0.000 0.000 0.000
Ag 0.000 0.500 0.500
Ag 0.500 0.000 0.500
Bi 0.500 0.500 0.000
B 0.000 0.000 0.500


Among the records above, which one has the highest D(E_F)? TaAgBi2B


Which formula does entry 3 have? AgBiBPt2


What is the formula in the fourth record? ReAgBiB2